Arrangement a

{
  "formula": "SiRh2O",
  "functional": "PBE",
  "state": "relaxed",
  "lattice_angstrom": [[0.0000, 2.8850, 2.8850], [2.8850, 0.0000, 2.8850], [2.8850, 2.8850, 0.0000]],
  "species": ["Si", "Rh", "Rh", "O"],
  "frac_coords": [[0.0000, 0.0000, 0.0000], [0.2500, 0.2500, 0.2500], [0.7500, 0.7500, 0.7500], [0.5000, 0.5000, 0.5000]],
  "volume_a3_per_atom": 12.0,
  "density_g_cm3": 8.64
}

---

Arrangement b

{
  "formula": "SiRh2O",
  "functional": "PBE",
  "state": "relaxed",
  "lattice_angstrom": [[-2.3165, 2.3165, 5.7469], [2.3165, -2.3165, 5.7469], [2.3165, 2.3165, -5.7469]],
  "species": ["Si", "Si", "Rh", "Rh", "Rh", "Rh", "O", "O"],
  "frac_coords": [[0.0000, 0.0000, 0.0000], [0.7500, 0.2500, 0.5000], [0.1861, 0.6250, 0.0611], [0.3750, 0.4361, 0.5611], [0.5639, 0.1250, 0.9389], [0.8750, 0.8139, 0.4389], [0.2500, 0.7500, 0.5000], [0.5000, 0.5000, 0.0000]],
  "volume_a3_per_atom": 15.4,
  "density_g_cm3": 6.73
}

---

Relative energies, kJ/mol of atoms: arrangement a 1.5; arrangement b 0.0.

---

Arrangement a

{
  "formula": "SiRhO",
  "functional": "PBE",
  "state": "relaxed",
  "lattice_angstrom": [[5.2780, -1.4759, 0.0000], [5.2780, 1.4759, 0.0000], [-3.8146, 0.0000, 5.1031]],
  "species": ["Si", "Si", "Rh", "Rh", "O", "O"],
  "frac_coords": [[0.1553, 0.1553, 0.1550], [0.8447, 0.8447, 0.8450], [0.4985, 0.4985, 0.2161], [0.5015, 0.5015, 0.7839], [0.3457, 0.3457, 0.3480], [0.6543, 0.6543, 0.6520]],
  "volume_a3_per_atom": 13.3,
  "density_g_cm3": 6.14
}

---

Arrangement b

{
  "formula": "SiRhO",
  "functional": "PBE",
  "state": "relaxed",
  "lattice_angstrom": [[2.7658, 0.0000, 0.0000], [-1.3829, 2.3952, 0.0000], [0.0000, 0.0000, 6.3006]],
  "species": ["Si", "Rh", "O"],
  "frac_coords": [[0.0000, 0.0000, 0.0000], [0.3333, 0.6667, 0.7216], [0.6667, 0.3333, 0.1506]],
  "volume_a3_per_atom": 13.9,
  "density_g_cm3": 5.85
}

---

Relative energies, kJ/mol of atoms: arrangement a 9.7; arrangement b 0.0.